Entry from the Alexandria database: an optimized crystal structure of SmMgRu4 (GGA-PBE).

a b c (Å): 5.286 5.286 5.286
angles (deg): 60.00 60.00 60.00
Atoms (fractional coordinates):
Sm 0.000 0.000 0.000
Mg 0.750 0.750 0.750
Ru 0.376 0.376 0.376
Ru 0.376 0.376 0.873
Ru 0.376 0.873 0.376
Ru 0.873 0.376 0.376

Results
VASP energy (eV for the cell shown): -43.64


Entry from the Alexandria database: an optimized crystal structure of CsSiOF2 (GGA-PBE).

a b c (Å): 4.665 4.665 3.574
angles (deg): 90.00 90.00 90.00
Atoms (fractional coordinates):
Cs 0.000 0.000 0.000
Si 0.500 0.500 0.500
O 0.500 0.500 0.000
F 0.000 0.500 0.500
F 0.500 0.000 0.500

Results
Formation energy from raw total energies (kJ/mol of atoms): -194.94
Energy relative to the lowest polymorph listed for this composition (meV per atom): 0
VASP energy (eV for the cell shown): -25.08


Entry from the Alexandria database: an optimized crystal structure of CaMgCu2P2 (GGA-PBE).

a b c (Å): 3.992 3.992 7.377
angles (deg): 90.00 90.00 120.00
Atoms (fractional coordinates):
Ca 0.000 0.000 0.000
Mg 0.000 0.000 0.500
Cu 0.333 0.667 0.712
Cu 0.667 0.333 0.288
P 0.333 0.667 0.262
P 0.667 0.333 0.738

Results
VASP energy (eV for the cell shown): -26.45